Sm5DyEr2Sc | Alexandria | PBE-GGA | relaxed; total energy = -84.43 eV for the cell shown; Fermi-level density of states = 1.633 states/eV per atom; calculated formation energy = 160 meV per atom
1.0
2.7659 -10.1822 0.0000
2.7659 10.1822 0.0000
0.0000 0.0000 10.3955
Sm Dy Er Sc
10 2 4 2
Direct
0.0134 0.9866 0.5000
0.1259 0.8741 0.7744
0.2016 0.7984 0.4636
0.2252 0.7748 0.0761
0.4856 0.5144 0.7674
0.5144 0.4856 0.2674
0.7748 0.2252 0.5761
0.7984 0.2016 0.9636
0.8741 0.1259 0.2744
0.9866 0.0134 0.0000
0.0958 0.9042 0.2193
0.9042 0.0958 0.7193
0.3843 0.6157 0.4953
0.3879 0.6121 0.0577
0.6121 0.3879 0.5577
0.6157 0.3843 0.9953
0.3046 0.6954 0.7701
0.6954 0.3046 0.2701